1.
The following is a DFT calculation (PBE-GGA) of crystalline Nd5DyIr4 at its relaxed geometry.

Summary:
The calculation puts the energy of formation from the pure elements at -0.545 eV/atom. As for the size of the total moment: 0.00 μB per formula unit. The calculation puts the raw total energy at -6.933 eV/atom.

Geometry as POSCAR:
```
Nd5DyIr4
1.0
4.306 0.000 0.000
0.000 7.491 -1.250
-2.153 -2.356 9.052
Ir Nd Dy
4 5 1
direct
0.000 0.755 0.000
0.302 0.802 0.605
0.000 0.245 0.000
0.698 0.198 0.395
0.165 0.408 0.329
0.835 0.078 0.671
0.500 0.500 0.000
0.835 0.592 0.671
0.165 0.922 0.329
0.500 0.000 0.000
```

2.
The following is a DFT calculation (PBE-GGA) of crystalline TbMg2Zn6 at its relaxed geometry.

Summary:
The calculation puts the energy of formation from the pure elements at -0.152 eV/atom. As for the size of the total moment: 0.00 μB per formula unit. The calculation puts the raw total energy at -1.870 eV/atom.

Geometry as POSCAR:
```
TbMg2Zn6
1.0
-2.647 -1.424 -1.767
2.364 -7.261 -1.129
-2.207 -5.823 4.560
Tb Zn Mg
1 6 2
direct
0.000 0.000 0.000
0.500 0.672 0.328
0.322 0.997 0.359
0.322 0.359 0.997
0.500 0.328 0.672
0.678 0.003 0.641
0.678 0.641 0.003
0.137 0.363 0.363
0.863 0.637 0.637
```